(1)
Crystalline ReSb2TeO at its relaxed geometry, computed with PBE.

Values from the calculation:
Raw formation energy: 942 meV/atom
Crystal system: tetragonal
N(E_F): 4.69 states/eV/f.u.
Offset from the most stable computed form: 258 meV per atom
Total magnetization: 0.01 μB/cell

a b c (Å): 5.1690 5.1690 5.0560
angles (deg): 90.00 90.00 90.00
Fractional positions:
Re  0.0000  0.0000  0.0000
Sb  0.0000  0.5000  0.0000
Sb  0.5000  0.0000  0.0000
Te  0.0000  0.0000  0.5000
O  0.5000  0.5000  0.5000

(2)
Crystalline ReSbTe2O at its relaxed geometry, computed with PBE.

Values from the calculation:
Raw formation energy: 801 meV/atom
Crystal system: tetragonal
N(E_F): 3.92 states/eV/f.u.
Offset from the most stable computed form: 0 meV per atom
Total magnetization: 0.00 μB/cell

a b c (Å): 4.6724 4.6724 4.5873
angles (deg): 90.00 90.00 90.00
Fractional positions:
Re  0.0000  0.0000  0.0000
Sb  0.5000  0.5000  0.0000
Te  0.0000  0.5000  0.5000
Te  0.5000  0.0000  0.5000
O  0.5000  0.5000  0.5000

(3)
Crystalline ReSb2TeO at its relaxed geometry, computed with PBE.

Values from the calculation:
Raw formation energy: 683 meV/atom
Crystal system: tetragonal
N(E_F): 4.52 states/eV/f.u.
Offset from the most stable computed form: 0 meV per atom
Total magnetization: 0.68 μB/cell

a b c (Å): 4.5791 4.5791 4.7297
angles (deg): 90.00 90.00 90.00
Fractional positions:
Re  0.0000  0.0000  0.0000
Sb  0.0000  0.5000  0.5000
Sb  0.5000  0.0000  0.5000
Te  0.5000  0.5000  0.0000
O  0.5000  0.5000  0.5000

(4)
Crystalline Tl2ReSbO6 at its relaxed geometry, computed with PBE.

Values from the calculation:
Raw formation energy: -1066 meV/atom
Crystal system: tetragonal
N(E_F): 0.00 states/eV/f.u.
Total magnetization: 0.00 μB/cell

a b c (Å): 7.0388 7.0388 7.0388
angles (deg): 133.57 133.57 67.76
Fractional positions:
Tl  0.2500  0.7500  0.5000
Tl  0.7500  0.2500  0.5000
Re  0.0000  0.0000  0.0000
Sb  0.5000  0.5000  0.0000
O  0.2333  0.2333  0.4666
O  0.2333  0.7667  0.0000
O  0.3371  0.3371  0.0000
O  0.6629  0.6629  0.0000
O  0.7667  0.2333  0.0000
O  0.7667  0.7667  0.5334

(5)
Crystalline Sc3ReO at its relaxed geometry, computed with PBE.

Values from the calculation:
Raw formation energy: -1181 meV/atom
Crystal system: cubic
N(E_F): 3.82 states/eV/f.u.
Offset from the most stable computed form: 0 meV per atom
Total magnetization: 0.00 μB/cell

a b c (Å): 4.3348 4.3348 4.3348
angles (deg): 90.00 90.00 90.00
Fractional positions:
Sc  0.0000  0.0000  0.5000
Sc  0.0000  0.5000  0.0000
Sc  0.5000  0.0000  0.0000
Re  0.5000  0.5000  0.5000
O  0.0000  0.0000  0.0000

(6)
Crystalline ScRe2O at its relaxed geometry, computed with PBE.

Values from the calculation:
Raw formation energy: 404 meV/atom
Crystal system: tetragonal
N(E_F): 4.79 states/eV/f.u.
Total magnetization: 0.00 μB/cell

a b c (Å): 7.3328 7.3328 7.3328
angles (deg): 141.79 141.79 55.14
Fractional positions:
Sc  0.0000  0.0000  0.0000
Sc  0.7500  0.2500  0.5000
Re  0.3265  0.6250  0.2015
Re  0.3750  0.5765  0.7015
Re  0.4235  0.1250  0.7985
Re  0.8750  0.6735  0.2985
O  0.2500  0.7500  0.5000
O  0.5000  0.5000  0.0000

(7)
Crystalline ScReO3 at its relaxed geometry, computed with PBE.

Values from the calculation:
Raw formation energy: -1426 meV/atom
Crystal system: cubic
N(E_F): 4.03 states/eV/f.u.
Total magnetization: 1.08 μB/cell

a b c (Å): 3.8972 3.8972 3.8972
angles (deg): 90.00 90.00 90.00
Fractional positions:
Sc  0.0000  0.0000  0.0000
Re  0.5000  0.5000  0.5000
O  0.0000  0.5000  0.5000
O  0.5000  0.0000  0.5000
O  0.5000  0.5000  0.0000

(8)
Crystalline Sc2Re2O at its relaxed geometry, computed with PBE.

Values from the calculation:
Raw formation energy: 150 meV/atom
Crystal system: tetragonal
N(E_F): 5.66 states/eV/f.u.
Offset from the most stable computed form: 0 meV per atom
Total magnetization: 0.00 μB/cell

a b c (Å): 5.7540 5.7540 4.8446
angles (deg): 90.00 90.00 90.00
Fractional positions:
Sc  0.1660  0.3340  0.0000
Sc  0.3340  0.8340  0.0000
Sc  0.6660  0.1660  0.0000
Sc  0.8340  0.6660  0.0000
Re  0.1567  0.6567  0.5000
Re  0.3433  0.1567  0.5000
Re  0.6567  0.8433  0.5000
Re  0.8433  0.3433  0.5000
O  0.0000  0.0000  0.5000
O  0.5000  0.5000  0.5000

no.,raw total energy (eV/cell)
1,-24.1
2,-23.8
3,-25.4
4,-61.7
5,-42.3
6,-69.1
7,-40.8
8,-83.5